(1)
Density functional theory data (PBEsol) for an optimized crystal structure of CaTiTc3.

Cell: 4.445 4.445 4.445 Å, 90.00 90.00 90.00°
Space group Pm-3m (No. 221)
Asymmetric unit:
Ca (0.000, 0.000, 0.000)
Ti (0.500, 0.500, 0.500)
Tc (0.000, 0.000, 0.500)

Results
DOS at the Fermi energy, states/eV/atom: 1.38
Mass density, g cm⁻³: 7.2
Raw total energy, eV per atom: -6.55

=====

(2)
Density functional theory data (PBEsol) for an optimized crystal structure of ZnCuPt2.

Cell: 9.549 2.761 4.476 Å, 90.00 111.78 90.00°
Space group Cm (No. 8)
Asymmetric unit:
Zn (0.000, 0.000, 0.000)
Cu (0.245, 0.500, 0.386)
Pt (0.250, 0.000, 0.891)
Pt (0.494, 0.000, 0.492)

Results
DOS at the Fermi energy, states/eV/atom: 0.53
Mass density, g cm⁻³: 15.7
Raw total energy, eV per atom: -5.26

=====

(3)
Density functional theory data (PBEsol) for an optimized crystal structure of GdZnAsO.

Cell: 3.937 3.937 8.791 Å, 90.00 90.00 90.00°
Space group P4/nmm (No. 129, origin choice 2)
Asymmetric unit:
Gd (0.250, 0.250, 0.128)
Zn (0.250, 0.750, 0.500)
As (0.250, 0.250, 0.682)
O (0.250, 0.750, 0.000)

Results
Formation energy (no corrections), eV per atom: -1.839
Mass density, g cm⁻³: 7.6
Raw total energy, eV per atom: -8.44

=====

(4)
Density functional theory data (PBEsol) for an optimized crystal structure of SbTe2Br.

Cell: 7.485 7.485 7.485 Å, 90.00 90.00 90.00°
Space group F-43m (No. 216)
Asymmetric unit:
Sb (0.000, 0.000, 0.000)
Te (0.000, 0.000, 0.500)
Te (0.250, 0.250, 0.750)
Br (0.250, 0.250, 0.250)

Results
DOS at the Fermi energy, states/eV/atom: 0.87
Formation energy (no corrections), eV per atom: 0.137
Mass density, g cm⁻³: 7.2
Relative energy among the computed polymorphs, kJ/mol of formula units: 3
Raw total energy, eV per atom: -3.23

=====

(5)
Density functional theory data (PBEsol) for an optimized crystal structure of TlHgCl.

Cell: 4.5226 4.5226 5.1372 Å, 90.00 90.00 120.00°
Space group P3m1 (No. 156)
Asymmetric unit:
Tl (0.0000, 0.0000, 0.0000)
Hg (0.6667, 0.3333, 0.3507)
Cl (0.3333, 0.6667, 0.7079)

Results
Formation energy (no corrections), eV per atom: -0.478
Mass density, g cm⁻³: 8.0
Relative energy among the computed polymorphs, kJ/mol of formula units: 6
Raw total energy, eV per atom: -2.21

=====

(6)
Density functional theory data (PBEsol) for an optimized crystal structure of YSc2Ni2.

Cell: 4.257 4.257 10.513 Å, 90.00 90.00 90.00°
Space group I4/mmm (No. 139)
Asymmetric unit:
Y (0.000, 0.000, 0.000)
Sc (0.000, 0.500, 0.250)
Ni (0.000, 0.000, 0.393)

Results
DOS at the Fermi energy, states/eV/atom: 1.27
Mass density, g cm⁻³: 5.2
Relative energy among the computed polymorphs, kJ/mol of formula units: 9
Raw total energy, eV per atom: -6.77